Material: AlSb4Ru
Method: DFT, PBE-GGA
State: relaxed

a = 6.1067 Å, b = 6.1067 Å, c = 6.1067 Å
α = 60.00°, β = 60.00°, γ = 60.00°
Fractional coordinates of all 6 atoms:
Ru: 0.0000 0.0000 0.0000
Al: 0.7500 0.7500 0.7500
Sb: 0.3751 0.3751 0.8747
Sb: 0.3751 0.3751 0.3751
Sb: 0.3751 0.8747 0.3751
Sb: 0.8747 0.3751 0.3751

Values from the calculation:
- E_form (uncorrected) (kJ/mol of atoms) = 89.1
- uncorrected energy (Ha/atom) = -0.147
- density (g cm⁻³) = 6.3
- SG = F-43m

***

Material: AlSb3Ru
Method: DFT, PBE-GGA
State: relaxed

a = 5.1447 Å, b = 5.1447 Å, c = 5.1447 Å
α = 90.00°, β = 90.00°, γ = 90.00°
Fractional coordinates of all 5 atoms:
Al: 0.5000 0.5000 0.5000
Sb: 0.0000 0.5000 0.0000
Sb: 0.5000 0.0000 0.0000
Sb: 0.0000 0.0000 0.5000
Ru: 0.0000 0.0000 0.0000

Values from the calculation:
- E_form (uncorrected) (kJ/mol of atoms) = 51.6
- uncorrected energy (Ha/atom) = -0.167
- density (g cm⁻³) = 6.0
- SG = Pm-3m

***

Material: AlSb2Ru
Method: DFT, PBE-GGA
State: relaxed

a = 9.5481 Å, b = 9.5481 Å, c = 9.5481 Å
α = 19.42°, β = 19.42°, γ = 19.42°
Fractional coordinates of all 4 atoms:
Sb: 0.2374 0.2374 0.2374
Al: 0.4872 0.4872 0.4872
Ru: 0.7558 0.7558 0.7558
Sb: 0.0197 0.0197 0.0197

Values from the calculation:
- E_form (uncorrected) (kJ/mol of atoms) = 1.6
- uncorrected energy (Ha/atom) = -0.195
- density (g cm⁻³) = 7.3
- SG = R3m

***

Material: AlSbRu
Method: DFT, PBE-GGA
State: relaxed

a = 4.9237 Å, b = 4.9237 Å, c = 4.9237 Å
α = 140.58°, β = 136.80°, γ = 59.90°
Fractional coordinates of all 3 atoms:
Ru: 0.3430 0.3430 0.0000
Al: 0.9865 0.9865 0.0000
Sb: 0.6705 0.6705 0.0000

Values from the calculation:
- E_form (uncorrected) (kJ/mol of atoms) = -5.1
- uncorrected energy (Ha/atom) = -0.212
- density (g cm⁻³) = 8.1
- SG = Imm2

***

Material: AlSb2Ru
Method: DFT, PBE-GGA
State: relaxed

a = 4.5550 Å, b = 4.5550 Å, c = 6.4281 Å
α = 77.39°, β = 77.39°, γ = 42.28°
Fractional coordinates of all 4 atoms:
Ru: 0.7502 0.7502 0.6773
Sb: 0.0146 0.0146 0.9278
Al: 0.4834 0.4834 0.5675
Sb: 0.2516 0.2516 0.3274

Values from the calculation:
- E_form (uncorrected) (kJ/mol of atoms) = -5.1
- uncorrected energy (Ha/atom) = -0.197
- density (g cm⁻³) = 7.1
- SG = Cm

***

Material: AlSbRu3
Method: DFT, PBE-GGA
State: relaxed

a = 4.4421 Å, b = 4.4421 Å, c = 4.4421 Å
α = 90.00°, β = 90.00°, γ = 90.00°
Fractional coordinates of all 5 atoms:
Al: 0.0000 0.0000 0.0000
Ru: 0.0000 0.5000 0.0000
Ru: 0.0000 0.0000 0.5000
Sb: 0.5000 0.5000 0.5000
Ru: 0.5000 0.0000 0.0000

Values from the calculation:
- E_form (uncorrected) (kJ/mol of atoms) = 79.3
- uncorrected energy (Ha/atom) = -0.232
- density (g cm⁻³) = 8.6
- SG = Pm-3m

***

Material: AlSb2Ru
Method: DFT, PBE-GGA
State: relaxed

a = 4.1602 Å, b = 3.9761 Å, c = 5.2551 Å
α = 67.77°, β = 90.00°, γ = 90.00°
Fractional coordinates of all 4 atoms:
Sb: 0.5000 0.2668 0.3437
Sb: 0.0000 0.9778 0.9176
Ru: 0.5000 0.5564 0.7618
Al: 0.0000 0.6990 0.4769

Values from the calculation:
- E_form (uncorrected) (kJ/mol of atoms) = -4.2
- uncorrected energy (Ha/atom) = -0.197
- density (g cm⁻³) = 7.7
- SG = Amm2

***

Material: AlSbRu
Method: DFT, PBE-GGA
State: relaxed

a = 6.4561 Å, b = 6.4561 Å, c = 3.0828 Å
α = 76.19°, β = 76.19°, γ = 27.63°
Fractional coordinates of all 3 atoms:
Sb: 0.3018 0.3018 0.6982
Ru: 0.6558 0.6558 0.3442
Al: 0.0424 0.0424 0.9576

Values from the calculation:
- E_form (uncorrected) (kJ/mol of atoms) = -12.2
- uncorrected energy (Ha/atom) = -0.215
- density (g cm⁻³) = 7.2
- SG = I4mm

***

- Which of these has the highest density?
  AlSbRu3